Below is a relaxed Tb2P2Rh crystal, with properties calculated at the GGA-PBE level.

Output
VASP energy = -67.44 eV per cell
Magnetic moment = 0.00 μB per cell
Space group = C2/m (12)
Energy relative to the elements = -1.2578 eV per atom

Unit cell a=5.6608 b=5.6608 c=10.1989 alpha=112.09 beta=112.09 gamma=41.76
Closest atoms and distances in Å follow each position.
Fractional coordinates of all 10 atoms:
Tb  0.0884  0.0884  0.3960  4 P 2.80-3.01, 2 Rh 2.94
Tb  0.3020  0.3020  0.8555  7 P 2.95-3.16, 4 Rh 2.99-3.10
Tb  0.6980  0.6980  0.1445  7 P 2.95-3.16, 4 Rh 2.99-3.10
Tb  0.9116  0.9116  0.6040  4 P 2.80-3.01, 2 Rh 2.94
P  0.0498  0.0498  0.9195  1 P 2.28, 2 Rh 2.31
P  0.3400  0.3400  0.3659  1 Rh 2.43
P  0.6600  0.6600  0.6341  1 Rh 2.43
P  0.9502  0.9502  0.0805  1 P 2.28, 2 Rh 2.31
Rh  0.4326  0.4326  0.1828  3 P 2.31-2.43
Rh  0.5674  0.5674  0.8172  3 P 2.31-2.43